A:
A geometry-optimized Nd8CoHg2 structure. Source: the Alexandria database, functional PBE.

Geometry as CIF:
```
data_Nd8CoHg2
_cell_length_a 9.6785
_cell_length_b 9.6785
_cell_length_c 7.2956
_cell_angle_alpha 92.83
_cell_angle_beta 92.83
_cell_angle_gamma 29.55
_symmetry_space_group_name_H-M 'P 1'
_symmetry_Int_Tables_number 1
loop_
_symmetry_equiv_pos_as_xyz
'x,y,z'
loop_
_atom_site_label
_atom_site_fract_x
_atom_site_fract_y
_atom_site_fract_z
Nd1 0.0068 0.0068 0.2741
Nd2 0.2153 0.2153 0.8136
Nd3 0.3626 0.3626 0.4971
Nd4 0.4063 0.4063 0.0118
Nd5 0.5937 0.5937 0.9882
Nd6 0.6374 0.6374 0.5029
Nd7 0.7847 0.7847 0.1864
Nd8 0.9932 0.9932 0.7259
Co1 0.5000 0.5000 0.5000
Hg1 0.1823 0.1823 0.2480
Hg2 0.8177 0.8177 0.7520
```

Output
**Size of the total moment**: 0.00 μB/f.u.
**DOS at the Fermi energy**: 11.87 states/eV/f.u.



B:
A geometry-optimized Nd8CoHg2 structure. Source: the Alexandria database, functional PBE.

Geometry as CIF:
```
data_Nd8CoHg2
_cell_length_a 9.0210
_cell_length_b 9.0210
_cell_length_c 6.3782
_cell_angle_alpha 103.91
_cell_angle_beta 103.91
_cell_angle_gamma 128.46
_symmetry_space_group_name_H-M 'P 1'
_symmetry_Int_Tables_number 1
loop_
_symmetry_equiv_pos_as_xyz
'x,y,z'
loop_
_atom_site_label
_atom_site_fract_x
_atom_site_fract_y
_atom_site_fract_z
Nd1 0.0000 0.0000 0.0000
Nd2 0.1247 0.9042 0.4925
Nd3 0.3705 0.5914 0.1204
Nd4 0.4631 0.4631 0.6051
Nd5 0.5520 0.9462 0.7919
Nd6 0.5914 0.3705 0.1204
Nd7 0.9042 0.1247 0.4925
Nd8 0.9462 0.5520 0.7919
Co1 0.7421 0.7421 0.5018
Hg1 0.0296 0.4598 0.2980
Hg2 0.4598 0.0296 0.2980
```

Output
**Size of the total moment**: 0.00 μB/f.u.
**DOS at the Fermi energy**: 11.96 states/eV/f.u.



Which structure is the most stable? The one labeled A.